Below is a geometry-optimized PaCuTcO5 structure, with properties calculated at the PBE-GGA level.

crystal system = monoclinic
raw formation energy = -1849 meV/atom

a b c (Å): 5.707 5.707 7.753
angles (deg): 103.02 103.02 106.70
Fractional positions:
Pa  0.000  0.500  0.000
Pa  0.500  0.000  0.500
Cu  0.059  0.941  0.750
Cu  0.941  0.059  0.250
Tc  0.398  0.602  0.750
Tc  0.602  0.398  0.250
O  0.155  0.311  0.807
O  0.209  0.746  0.577
O  0.254  0.791  0.923
O  0.311  0.155  0.307
O  0.382  0.618  0.250
O  0.618  0.382  0.750
O  0.689  0.845  0.693
O  0.746  0.209  0.077
O  0.791  0.254  0.423
O  0.845  0.689  0.193



Below is a geometry-optimized PaCu2TcO8 structure, with properties calculated at the PBE-GGA level.

crystal system = tetragonal
raw formation energy = -1425 meV/atom

a b c (Å): 5.787 5.787 5.787
angles (deg): 111.24 111.24 105.99
Fractional positions:
Pa  0.000  0.000  0.000
Cu  0.250  0.750  0.500
Cu  0.500  0.500  0.000
Tc  0.750  0.250  0.500
O  0.048  0.362  0.314
O  0.048  0.734  0.686
O  0.093  0.318  0.776
O  0.266  0.952  0.314
O  0.542  0.318  0.224
O  0.638  0.952  0.686
O  0.682  0.458  0.776
O  0.682  0.907  0.224



Below is a geometry-optimized PaCuTcO6 structure, with properties calculated at the PBE-GGA level.

crystal system = trigonal
raw formation energy = -1906 meV/atom

a b c (Å): 5.446 5.446 8.833
angles (deg): 90.00 90.00 120.00
Fractional positions:
Pa  0.333  0.667  0.250
Pa  0.667  0.333  0.750
Cu  0.000  0.000  0.000
Cu  0.000  0.000  0.500
Tc  0.333  0.667  0.750
Tc  0.667  0.333  0.250
O  0.029  0.363  0.630
O  0.029  0.666  0.870
O  0.334  0.363  0.870
O  0.334  0.971  0.630
O  0.363  0.029  0.130
O  0.363  0.334  0.370
O  0.637  0.666  0.630
O  0.637  0.971  0.870
O  0.666  0.029  0.370
O  0.666  0.637  0.130
O  0.971  0.334  0.130
O  0.971  0.637  0.370



Below is a geometry-optimized PaCu2TcO6 structure, with properties calculated at the PBE-GGA level.

crystal system = monoclinic
raw formation energy = -1763 meV/atom

a b c (Å): 7.013 7.013 5.159
angles (deg): 97.25 97.25 75.75
Fractional positions:
Pa  0.148  0.852  0.750
Pa  0.852  0.148  0.250
Cu  0.078  0.378  0.796
Cu  0.378  0.078  0.296
Cu  0.622  0.922  0.704
Cu  0.922  0.622  0.204
Tc  0.430  0.570  0.250
Tc  0.570  0.430  0.750
O  0.073  0.153  0.003
O  0.153  0.073  0.503
O  0.177  0.617  0.385
O  0.292  0.500  0.881
O  0.383  0.823  0.115
O  0.500  0.292  0.381
O  0.500  0.708  0.619
O  0.617  0.177  0.885
O  0.708  0.500  0.119
O  0.823  0.383  0.615
O  0.847  0.927  0.497
O  0.927  0.847  0.997



Below is a geometry-optimized PaCuTe2O8 structure, with properties calculated at the PBE-GGA level.

crystal system = tetragonal
raw formation energy = -1383 meV/atom

a b c (Å): 6.166 6.166 6.166
angles (deg): 109.20 109.20 110.01
Fractional positions:
Pa  0.000  0.000  0.000
Cu  0.750  0.250  0.500
Te  0.250  0.750  0.500
Te  0.500  0.500  0.000
O  0.056  0.350  0.294
O  0.056  0.763  0.706
O  0.120  0.315  0.805
O  0.237  0.944  0.294
O  0.510  0.315  0.195
O  0.650  0.944  0.706
O  0.685  0.490  0.805
O  0.685  0.880  0.195



Below is a geometry-optimized PaCuTeO5 structure, with properties calculated at the PBE-GGA level.

crystal system = monoclinic
raw formation energy = -1877 meV/atom

a b c (Å): 6.536 6.536 7.661
angles (deg): 99.62 99.62 116.68
Fractional positions:
Pa  0.000  0.500  0.000
Pa  0.500  0.000  0.500
Cu  0.077  0.923  0.750
Cu  0.923  0.077  0.250
Te  0.494  0.506  0.750
Te  0.506  0.494  0.250
O  0.104  0.269  0.125
O  0.222  0.778  0.250
O  0.269  0.104  0.625
O  0.343  0.594  0.921
O  0.406  0.657  0.579
O  0.594  0.343  0.421
O  0.657  0.406  0.079
O  0.731  0.896  0.375
O  0.778  0.222  0.750
O  0.896  0.731  0.875



Below is a geometry-optimized PaCu2TeO6 structure, with properties calculated at the PBE-GGA level.

crystal system = trigonal
raw formation energy = -1619 meV/atom

a b c (Å): 5.977 5.977 5.977
angles (deg): 54.60 54.60 54.60
Fractional positions:
Pa  0.000  0.000  0.000
Cu  0.250  0.250  0.250
Cu  0.750  0.750  0.750
Te  0.500  0.500  0.500
O  0.113  0.744  0.397
O  0.256  0.603  0.887
O  0.397  0.113  0.744
O  0.603  0.887  0.256
O  0.744  0.397  0.113
O  0.887  0.256  0.603



Below is a geometry-optimized ThPaCuO6 structure, with properties calculated at the PBE-GGA level.

crystal system = trigonal
raw formation energy = -2579 meV/atom

a b c (Å): 5.445 5.445 4.978
angles (deg): 90.00 90.00 120.00
Fractional positions:
Th  0.000  0.000  0.000
Pa  0.667  0.333  0.500
Cu  0.333  0.667  0.000
O  0.008  0.366  0.241
O  0.008  0.642  0.759
O  0.358  0.366  0.759
O  0.358  0.992  0.241
O  0.634  0.642  0.241
O  0.634  0.992  0.759



Below is a geometry-optimized PaTi2CuO8 structure, with properties calculated at the PBE-GGA level.

crystal system = tetragonal
raw formation energy = -2467 meV/atom

a b c (Å): 6.336 6.336 6.336
angles (deg): 132.97 132.97 68.70
Fractional positions:
Pa  0.000  0.000  0.000
Ti  0.250  0.750  0.500
Ti  0.500  0.500  0.000
Cu  0.750  0.250  0.500
O  0.023  0.603  0.984
O  0.252  0.140  0.555
O  0.303  0.748  0.889
O  0.397  0.381  0.420
O  0.586  0.697  0.445
O  0.619  0.039  0.016
O  0.860  0.414  0.111
O  0.961  0.977  0.580



Below is a geometry-optimized PaTl2CuO8 structure, with properties calculated at the PBE-GGA level.

crystal system = monoclinic
raw formation energy = -1154 meV/atom

a b c (Å): 5.079 6.575 5.082
angles (deg): 90.00 90.88 90.00
Fractional positions:
Pa  0.000  0.000  0.000
Tl  0.500  0.263  0.500
Tl  0.500  0.737  0.500
Cu  0.000  0.500  0.000
O  0.170  0.272  0.826
O  0.170  0.728  0.826
O  0.286  0.500  0.281
O  0.306  0.000  0.301
O  0.694  0.000  0.699
O  0.714  0.500  0.719
O  0.830  0.272  0.174
O  0.830  0.728  0.174



Below is a geometry-optimized PaTlCuO4 structure, with properties calculated at the PBE-GGA level.

crystal system = orthorhombic
raw formation energy = -1962 meV/atom

a b c (Å): 7.243 7.243 7.243
angles (deg): 131.59 121.67 79.12
Fractional positions:
Pa  0.000  0.000  0.000
Pa  0.500  0.000  0.500
Tl  0.438  0.688  0.750
Tl  0.562  0.312  0.250
Cu  0.000  0.000  0.500
Cu  0.000  0.500  0.000
O  0.126  0.196  0.930
O  0.234  0.804  0.430
O  0.269  0.236  0.467
O  0.269  0.802  0.033
O  0.731  0.198  0.967
O  0.731  0.764  0.533
O  0.766  0.196  0.570
O  0.874  0.804  0.070



Below is a geometry-optimized PaTl2CuO6 structure, with properties calculated at the PBE-GGA level.

crystal system = triclinic
raw formation energy = -1510 meV/atom

a b c (Å): 5.322 5.837 6.109
angles (deg): 115.35 113.63 90.60
Fractional positions:
Pa  0.000  0.000  0.000
Tl  0.302  0.795  0.504
Tl  0.741  0.350  0.546
Cu  0.491  0.485  0.987
O  0.018  0.156  0.388
O  0.263  0.735  0.098
O  0.376  0.289  0.151
O  0.602  0.669  0.824
O  0.688  0.214  0.832
O  0.936  0.758  0.595